1.
Below is crystalline CeNdSnHg at its relaxed geometry, with properties calculated at the PBE level.

Results
- Calculated formation energy: -0.4954 eV/atom

extended XYZ file:
```
4
Lattice="-2.6407 -2.1266 -1.9225 2.8580 -2.1577 -1.5388 -0.4347 -4.7444 5.8452" Properties=species:S:1:pos:R:3 pbc="T T T"
Nd -0.3725 -4.0657 5.0091
Hg -0.1568 -5.0394 1.8389
Sn 0.0625 -2.6454 -1.1106
Ce -0.1540 -1.6807 2.0707
```

=====

2.
Below is crystalline RbMoH2Br8 at its relaxed geometry, with properties calculated at the PBE level.

Results
- VASP energy: -39.05 eV for the cell shown

extended XYZ file:
```
12
Lattice="6.8411 -0.9222 0.5753 -0.8680 6.9859 -0.8726 0.7407 -1.2567 9.4408" Properties=species:S:1:pos:R:3 pbc="T T T"
H 3.3926 4.3650 1.8767
Mo 0.0000 0.0000 0.0000
Br 3.5664 0.8274 5.8622
Br 6.2421 0.4635 2.5998
Br 0.0192 5.1482 0.5875
Br 3.6882 4.9971 -0.2565
Br 3.1474 3.9795 3.2812
Br 3.0256 -0.1902 9.3999
H 3.3212 0.4419 7.2668
Br 6.6946 -0.3413 8.5560
Br 0.4718 4.3434 6.5437
Rb 0.3703 -0.6284 4.7204
```

=====

3.
Below is crystalline Pm3RhC4 at its relaxed geometry, with properties calculated at the PBE level.

Results
- Calculated formation energy: -0.2603 eV/atom

extended XYZ file:
```
8
Lattice="-2.0551 -0.3700 3.0885 3.4658 -1.3684 2.1422 1.7320 8.4507 -0.0852" Properties=species:S:1:pos:R:3 pbc="T T T"
C 0.1471 6.1379 3.0834
Rh 0.0000 0.0000 0.0000
Pm 3.1800 4.2628 2.6268
Pm -0.0374 2.4494 2.5188
C 2.7424 1.8846 2.0506
C 0.4003 4.8276 3.0949
C 2.9956 0.5744 2.0621
Pm 0.7053 -0.8692 2.6154
```

=====

4.
Below is crystalline Fe3IrPd at its relaxed geometry, with properties calculated at the PBE level.

Results
- Calculated formation energy: 1.2351 eV/atom

extended XYZ file:
```
5
Lattice="4.6170 0.0000 0.0000 0.0000 4.6170 0.0000 0.0000 0.0000 4.6170" Properties=species:S:1:pos:R:3 pbc="T T T"
Pd 2.3085 2.3085 2.3085
Ir 0.0000 0.0000 0.0000
Fe 0.0000 0.0000 2.3085
Fe 2.3085 0.0000 0.0000
Fe 0.0000 2.3085 0.0000
```